First-principles (PBE-GGA) data for Ce2Mg2Rh15 after structural relaxation, as listed in the Alexandria database.

Results
SG = No. 166
formation enthalpy at 0 K = -5.68 eV per formula unit
E_tot = -131.01 eV for the cell shown
total magnetic moment = 0.000 μB per cell

Cell lengths 6.842, 6.842, 6.842 Å; angles 82.06, 82.06, 82.06 degrees
Positions (direct):
1 Ce 0.351 0.351 0.351
2 Ce 0.649 0.649 0.649
3 Mg 0.102 0.102 0.102
4 Mg 0.898 0.898 0.898
5 Rh 0.500 0.000 0.000
6 Rh 0.000 0.000 0.500
7 Rh 0.000 0.500 0.000
8 Rh 0.000 0.693 0.307
9 Rh 0.693 0.307 0.000
10 Rh 0.307 0.000 0.693
11 Rh 0.307 0.693 0.000
12 Rh 0.693 0.000 0.307
13 Rh 0.000 0.307 0.693
14 Rh 0.156 0.652 0.652
15 Rh 0.652 0.652 0.156
16 Rh 0.652 0.156 0.652
17 Rh 0.844 0.348 0.348
18 Rh 0.348 0.348 0.844
19 Rh 0.348 0.844 0.348